The following is a DFT calculation (PBE-GGA) of crystalline GeSbSe2N at its relaxed geometry.

theoretical density = 6.10 g/cm3
magnetization = 0.00 μB per formula unit
distance to the lowest polymorph of the same formula = 0 meV per atom
E_form (uncorrected) = 0.5390 eV/atom
VASP energy = -0.3137 Ry/atom

a b c (Å): 5.2572 5.2572 3.6055
angles (deg): 90.00 90.00 90.00
Last column: nearest neighbours and their distance in Å.
Space group P4/mmm (No. 123)
Symmetry-distinct sites (fractional):
1 Ge 0.0000 0.0000 0.0000 (multiplicity 1)  2 N 1.80
2 Sb 0.5000 0.5000 0.5000 (multiplicity 1)  8 Se 3.19
3 Se 0.0000 0.5000 0.0000 (multiplicity 2)  2 Ge 2.63
4 N 0.0000 0.0000 0.5000 (multiplicity 1)  2 Ge 1.80